Model 1:
First-principles (PBE) data for a geometry-optimized AcNd3Ag2 structure, as listed in Alexandria.

Cell and atoms, written as POSCAR:
```
AcNd3Ag2
1.0
5.465 0.000 0.000
-2.733 9.159 -0.601
0.000 -4.681 7.785
Ag Ac Nd
4 2 6
Direct
0.500 0.999 0.153 Ag
0.500 0.001 0.847 Ag
0.227 0.453 0.845 Ag
0.773 0.547 0.155 Ag
0.869 0.738 0.931 Ac
0.131 0.262 0.069 Ac
0.063 0.127 0.407 Nd
0.302 0.604 0.604 Nd
0.698 0.396 0.396 Nd
0.937 0.873 0.593 Nd
0.380 0.760 0.281 Nd
0.620 0.240 0.719 Nd
```

Calculated values
**Calculated volume**: 374.3 Å³/cell
**M_tot**: 0.0 μB per formula unit
**Crystal system**: monoclinic

Model 2:
First-principles (PBE) data for a geometry-optimized AcNd3Ag2 structure, as listed in Alexandria.

Cell and atoms, written as POSCAR:
```
AcNd3Ag2
1.0
3.778 0.000 0.000
0.000 3.778 0.000
0.000 0.000 12.964
Ac Nd Ag
1 3 2
Direct
0.500 0.500 0.500 Ac
0.000 0.000 0.287 Nd
0.000 0.000 0.713 Nd
0.000 0.000 0.000 Nd
0.500 0.500 0.144 Ag
0.500 0.500 0.856 Ag
```

Calculated values
**Calculated volume**: 185.1 Å³/cell
**M_tot**: 0.0 μB per formula unit
**Crystal system**: tetragonal

If we sort the structures by their calculated energies, the order from most to least stable is model 2, model 1.

Model 1:
First-principles (PBE) data for a geometry-optimized AcPmNdAg structure, as listed in Alexandria.

Cell and atoms, written as POSCAR:
```
AcPmNdAg
1.0
5.665 0.000 0.000
2.833 4.906 0.000
2.833 1.635 4.626
Pm Ag Nd Ac
1 1 1 1
Direct
0.000 0.000 0.000 Pm
0.250 0.250 0.250 Ag
0.500 0.500 0.500 Nd
0.750 0.750 0.750 Ac
```

Calculated values
**Calculated volume**: 128.6 Å³/cell
**M_tot**: 0.0 μB per formula unit
**Crystal system**: cubic

Model 2:
First-principles (PBE) data for a geometry-optimized AcPmNdAg structure, as listed in Alexandria.

Cell and atoms, written as POSCAR:
```
AcPmNdAg
1.0
3.811 0.000 0.000
0.000 3.811 0.000
0.000 0.000 8.935
Ag Ac Pm Nd
1 1 1 1
Direct
0.000 0.000 0.574 Ag
0.000 0.000 0.069 Ac
0.500 0.500 0.774 Pm
0.500 0.500 0.367 Nd
```

Calculated values
**Calculated volume**: 129.7 Å³/cell
**M_tot**: 0.0 μB per formula unit
**Crystal system**: tetragonal

If we sort the structures by their calculated energies, the order from most to least stable is model 2, model 1.

Model 1:
First-principles (PBE) data for a geometry-optimized AcNdTlAg structure, as listed in Alexandria.

Cell and atoms, written as POSCAR:
```
AcNdTlAg
1.0
-2.872 4.683 1.051
-3.067 0.414 4.659
1.625 3.411 4.124
Ag Ac Tl Nd
1 1 1 1
Direct
0.250 0.250 0.250 Ag
0.000 0.000 0.000 Ac
0.750 0.750 0.750 Tl
0.500 0.500 0.500 Nd
```

Calculated values
**Calculated volume**: 123.7 Å³/cell
**M_tot**: 0.3 μB per formula unit
**Crystal system**: cubic

Model 2:
First-principles (PBE) data for a geometry-optimized AcNdTlAg structure, as listed in Alexandria.

Cell and atoms, written as POSCAR:
```
AcNdTlAg
1.0
3.873 0.000 0.000
0.000 3.873 0.000
0.000 0.000 8.155
Tl Ac Nd Ag
1 1 1 1
Direct
0.500 0.500 0.127 Tl
0.000 0.000 0.846 Ac
0.000 0.000 0.371 Nd
0.500 0.500 0.584 Ag
```

Calculated values
**Calculated volume**: 122.4 Å³/cell
**M_tot**: 0.2 μB per formula unit
**Crystal system**: tetragonal

If we sort the structures by their calculated energies, the order from most to least stable is model 2, model 1.

Model 1:
First-principles (PBE) data for a geometry-optimized AcNdZnAg structure, as listed in Alexandria.

Cell and atoms, written as POSCAR:
```
AcNdZnAg
1.0
-0.433 -1.047 -5.312
-4.808 -1.388 -2.112
-2.643 3.463 -3.245
Zn Ag Nd Ac
1 1 1 1
Direct
0.750 0.750 0.750 Zn
0.250 0.250 0.250 Ag
0.500 0.500 0.500 Nd
0.000 0.000 0.000 Ac
```

Calculated values
**Calculated volume**: 113.3 Å³/cell
**M_tot**: 0.0 μB per formula unit
**Crystal system**: cubic

Model 2:
First-principles (PBE) data for a geometry-optimized AcNdZnAg structure, as listed in Alexandria.

Cell and atoms, written as POSCAR:
```
AcNdZnAg
1.0
-0.192 1.416 3.575
-2.802 -2.502 0.840
5.175 -5.034 2.272
Zn Ac Nd Ag
1 1 1 1
Direct
0.000 0.000 0.380 Zn
0.500 0.500 0.113 Ac
0.500 0.500 0.601 Nd
0.000 0.000 0.834 Ag
```

Calculated values
**Calculated volume**: 112.1 Å³/cell
**M_tot**: 0.0 μB per formula unit
**Crystal system**: tetragonal

If we sort the structures by their calculated energies, the order from most to least stable is model 2, model 1.

Model 1:
First-principles (PBE) data for a geometry-optimized Ac4NiAg structure, as listed in Alexandria.

Cell and atoms, written as POSCAR:
```
Ac4NiAg
1.0
-6.088 0.147 -5.622
-2.921 -3.476 5.192
1.979 8.125 3.119
Ac Ag Ni
8 2 2
Direct
0.331 0.631 0.621 Ac
0.209 0.009 0.379 Ac
0.688 0.786 0.127 Ac
0.061 0.659 0.873 Ac
0.791 0.991 0.621 Ac
0.939 0.341 0.127 Ac
0.312 0.214 0.873 Ac
0.669 0.369 0.379 Ac
0.376 0.626 0.252 Ag
0.624 0.374 0.748 Ag
0.988 0.238 0.476 Ni
0.012 0.762 0.524 Ni
```

Calculated values
**Calculated volume**: 420.4 Å³/cell
**M_tot**: 0.0 μB per formula unit
**Crystal system**: monoclinic

Model 2:
First-principles (PBE) data for a geometry-optimized Ac4NiAg structure, as listed in Alexandria.

Cell and atoms, written as POSCAR:
```
Ac4NiAg
1.0
-1.872 -4.017 -5.070
-5.537 -2.926 4.362
-4.365 7.451 -0.542
Ac Ni Ag
8 2 2
Direct
0.013 0.998 0.725 Ac
0.987 0.002 0.275 Ac
0.566 0.250 0.874 Ac
0.548 0.250 0.407 Ac
0.434 0.750 0.126 Ac
0.452 0.750 0.593 Ac
0.013 0.502 0.725 Ac
0.987 0.498 0.275 Ac
0.205 0.250 0.552 Ni
0.795 0.750 0.448 Ni
0.195 0.250 0.049 Ag
0.805 0.750 0.951 Ag
```

Calculated values
**Calculated volume**: 420.3 Å³/cell
**M_tot**: 0.0 μB per formula unit
**Crystal system**: monoclinic

If we sort the structures by their calculated energies, the order from most to least stable is model 2, model 1.

Model 1:
First-principles (PBE) data for a geometry-optimized AcNiAg structure, as listed in Alexandria.

Cell and atoms, written as POSCAR:
```
AcNiAg
1.0
3.997 0.000 0.000
0.000 3.997 0.000
0.000 0.000 5.052
Ac Ni Ag
1 1 1
Direct
0.000 0.000 0.000 Ac
0.500 0.500 0.000 Ni
0.500 0.500 0.500 Ag
```

Calculated values
**Calculated volume**: 80.7 Å³/cell
**M_tot**: 0.0 μB per formula unit
**Crystal system**: tetragonal

Model 2:
First-principles (PBE) data for a geometry-optimized AcNiAg structure, as listed in Alexandria.

Cell and atoms, written as POSCAR:
```
AcNiAg
1.0
-0.823 0.636 -4.035
-0.993 -4.214 -0.462
-6.824 3.412 4.072
Ac Ni Ag
2 2 2
Direct
0.642 0.891 0.782 Ac
0.358 0.109 0.218 Ac
0.785 0.535 0.071 Ni
0.215 0.465 0.929 Ni
0.946 0.698 0.396 Ag
0.054 0.302 0.604 Ag
```

Calculated values
**Calculated volume**: 147.1 Å³/cell
**M_tot**: 0.0 μB per formula unit
**Crystal system**: monoclinic

Model 3:
First-principles (PBE) data for a geometry-optimized AcNiAg structure, as listed in Alexandria.

Cell and atoms, written as POSCAR:
```
AcNiAg
1.0
-0.938 -3.222 -2.461
2.992 -2.557 2.207
-4.285 0.177 1.401
Ni Ag Ac
1 1 1
Direct
0.167 0.000 0.000 Ni
0.166 0.333 0.667 Ag
0.666 0.667 0.333 Ac
```

Calculated values
**Calculated volume**: 73.4 Å³/cell
**M_tot**: 0.0 μB per formula unit
**Crystal system**: hexagonal

Model 4:
First-principles (PBE) data for a geometry-optimized AcNiAg structure, as listed in Alexandria.

Cell and atoms, written as POSCAR:
```
AcNiAg
1.0
-0.052 3.617 0.491
-3.531 0.074 -0.923
0.471 -2.542 5.210
Ac Ag Ni
1 1 1
Direct
0.630 0.630 0.259 Ac
0.922 0.922 0.843 Ag
0.299 0.299 0.597 Ni
```

Calculated values
**Calculated volume**: 69.4 Å³/cell
**M_tot**: 0.0 μB per formula unit
**Crystal system**: tetragonal

If we sort the structures by their calculated energies, the order from most to least stable is model 2, model 3, model 1, model 4.

Model 1:
First-principles (PBE) data for a geometry-optimized Ac2Ni2Ag structure, as listed in Alexandria.

Cell and atoms, written as POSCAR:
```
Ac2Ni2Ag
1.0
-0.800 0.115 -3.951
0.470 -4.128 -0.216
-7.347 1.180 1.523
Ni Ac Ag
2 2 1
Direct
0.000 0.203 0.406 Ni
0.000 0.797 0.594 Ni
0.500 0.366 0.732 Ac
0.500 0.634 0.268 Ac
0.000 0.000 0.000 Ag
```

Calculated values
**Calculated volume**: 122.6 Å³/cell
**M_tot**: 0.0 μB per formula unit
**Crystal system**: orthorhombic

Model 2:
First-principles (PBE) data for a geometry-optimized Ac2Ni2Ag structure, as listed in Alexandria.

Cell and atoms, written as POSCAR:
```
Ac2Ni2Ag
1.0
-0.405 3.961 0.217
-5.810 -0.875 5.143
5.156 0.207 5.860
Ag Ni Ac
2 4 4
Direct
0.000 0.000 0.000 Ag
0.000 0.500 0.500 Ag
0.000 0.111 0.389 Ni
0.000 0.611 0.111 Ni
0.000 0.389 0.889 Ni
0.000 0.889 0.611 Ni
0.500 0.182 0.682 Ac
0.500 0.318 0.182 Ac
0.500 0.682 0.818 Ac
0.500 0.818 0.318 Ac
```

Calculated values
**Calculated volume**: 243.1 Å³/cell
**M_tot**: 0.0 μB per formula unit
**Crystal system**: tetragonal

If we sort the structures by their calculated energies, the order from most to least stable is model 1, model 2.

Model 1:
First-principles (PBE) data for a geometry-optimized AcAg2O4 structure, as listed in Alexandria.

Cell and atoms, written as POSCAR:
```
AcAg2O4
1.0
-0.208 3.437 2.335
3.167 -1.898 5.638
3.086 1.677 -2.230
Ag O Ac
2 4 1
Direct
0.613 0.684 0.387 Ag
0.387 0.316 0.613 Ag
0.582 0.760 0.915 O
0.418 0.240 0.085 O
0.915 0.240 0.582 O
0.085 0.760 0.418 O
0.000 0.000 0.000 Ac
```

Calculated values
**Calculated volume**: 111.3 Å³/cell
**M_tot**: 0.0 μB per formula unit
**Crystal system**: monoclinic

Model 2:
First-principles (PBE) data for a geometry-optimized AcAg2O4 structure, as listed in Alexandria.

Cell and atoms, written as POSCAR:
```
AcAg2O4
1.0
5.959 0.150 -1.796
-3.250 4.998 -1.796
0.193 0.367 7.179
Ac Ag O
2 4 8
Direct
0.250 0.750 0.500 Ac
0.000 0.000 0.000 Ac
0.625 0.875 0.250 Ag
0.625 0.375 0.250 Ag
0.625 0.375 0.750 Ag
0.125 0.375 0.750 Ag
0.761 0.114 0.730 O
0.364 0.511 0.230 O
0.969 0.616 0.730 O
0.384 0.031 0.270 O
0.866 0.719 0.230 O
0.489 0.636 0.770 O
0.886 0.239 0.270 O
0.281 0.134 0.770 O
```

Calculated values
**Calculated volume**: 225.1 Å³/cell
**M_tot**: 0.0 μB per formula unit
**Crystal system**: orthorhombic

If we sort the structures by their calculated energies, the order from most to least stable is model 2, model 1.

Model 1:
First-principles (PBE) data for a geometry-optimized Ac2AgO4 structure, as listed in Alexandria.

Cell and atoms, written as POSCAR:
```
Ac2AgO4
1.0
4.130 0.000 0.000
0.000 4.130 0.000
-2.065 -2.065 6.818
Ac O Ag
2 4 1
Direct
0.638 0.638 0.277 Ac
0.362 0.362 0.723 Ac
0.810 0.810 0.620 O
0.000 0.500 0.000 O
0.500 0.000 0.000 O
0.190 0.190 0.380 O
0.000 0.000 0.000 Ag
```

Calculated values
**Calculated volume**: 116.3 Å³/cell
**M_tot**: 0.0 μB per formula unit
**Crystal system**: tetragonal

Model 2:
First-principles (PBE) data for a geometry-optimized Ac2AgO4 structure, as listed in Alexandria.

Cell and atoms, written as POSCAR:
```
Ac2AgO4
1.0
-1.191 1.354 -3.877
1.549 -3.591 -1.729
-5.953 -1.745 3.577
Ac Ag O
2 1 4
Direct
0.650 0.650 0.300 Ac
0.350 0.350 0.700 Ac
0.000 0.000 0.000 Ag
0.500 0.000 0.000 O
0.750 0.250 0.500 O
0.250 0.750 0.500 O
0.000 0.500 0.000 O
```

Calculated values
**Calculated volume**: 118.7 Å³/cell
**M_tot**: 0.0 μB per formula unit
**Crystal system**: tetragonal

If we sort the structures by their calculated energies, the order from most to least stable is model 2, model 1.

Model 1:
First-principles (PBE) data for a geometry-optimized AcAgO structure, as listed in Alexandria.

Cell and atoms, written as POSCAR:
```
AcAgO
1.0
3.751 0.000 0.216
0.000 3.758 0.000
-0.489 0.000 9.055
O Ag Ac
2 2 2
Direct
0.749 0.750 0.602 O
0.251 0.250 0.398 O
0.250 0.750 0.000 Ag
0.750 0.250 0.000 Ag
0.752 0.750 0.332 Ac
0.248 0.250 0.668 Ac
```

Calculated values
**Calculated volume**: 128.0 Å³/cell
**M_tot**: 0.0 μB per formula unit
**Crystal system**: monoclinic

Model 2:
First-principles (PBE) data for a geometry-optimized AcAgO structure, as listed in Alexandria.

Cell and atoms, written as POSCAR:
```
AcAgO
1.0
-3.178 -1.618 -2.201
-0.059 -3.335 2.536
-5.307 3.798 4.873
Ag O Ac
2 2 2
Direct
0.750 0.250 0.071 Ag
0.250 0.750 0.929 Ag
0.250 0.250 0.500 O
0.750 0.750 0.500 O
0.250 0.750 0.341 Ac
0.750 0.250 0.659 Ac
```

Calculated values
**Calculated volume**: 143.0 Å³/cell
**M_tot**: 0.0 μB per formula unit
**Crystal system**: tetragonal

If we sort the structures by their calculated energies, the order from most to least stable is model 2, model 1.

Model 1:
First-principles (PBE) data for a geometry-optimized Ac3AgO structure, as listed in Alexandria.

Cell and atoms, written as POSCAR:
```
Ac3AgO
1.0
5.433 -0.016 0.071
0.072 7.790 2.085
-0.022 0.063 8.063
Ac Ag O
6 2 2
Direct
0.988 0.036 0.068 Ac
0.988 0.557 0.996 Ac
0.496 0.275 0.308 Ac
0.988 0.629 0.474 Ac
0.497 0.347 0.786 Ac
0.497 0.869 0.714 Ac
0.501 0.734 0.173 Ag
0.984 0.171 0.610 Ag
0.742 0.289 0.054 O
0.743 0.615 0.728 O
```

Calculated values
**Calculated volume**: 340.6 Å³/cell
**M_tot**: 0.0 μB per formula unit
**Crystal system**: monoclinic

Model 2:
First-principles (PBE) data for a geometry-optimized Ac3AgO structure, as listed in Alexandria.

Cell and atoms, written as POSCAR:
```
Ac3AgO
1.0
5.285 0.000 0.000
0.000 5.285 0.000
0.000 0.000 5.285
Ac Ag O
3 1 1
Direct
0.000 0.000 0.500 Ac
0.500 0.000 0.000 Ac
0.000 0.500 0.000 Ac
0.500 0.500 0.500 Ag
0.000 0.000 0.000 O
```

Calculated values
**Calculated volume**: 147.6 Å³/cell
**M_tot**: 0.0 μB per formula unit
**Crystal system**: cubic

If we sort the structures by their calculated energies, the order from most to least stable is model 1, model 2.

Model 1:
First-principles (PBE) data for a geometry-optimized Ac2AgO structure, as listed in Alexandria.

Cell and atoms, written as POSCAR:
```
Ac2AgO
1.0
-1.622 -1.025 2.888
-1.774 -2.349 -1.831
5.784 -5.405 1.330
Ac O Ag
2 1 1
Direct
0.000 0.000 0.788 Ac
0.000 0.000 0.212 Ac
0.500 0.500 0.000 O
0.500 0.500 0.500 Ag
```

Calculated values
**Calculated volume**: 96.5 Å³/cell
**M_tot**: 0.0 μB per formula unit
**Crystal system**: tetragonal

Model 2:
First-principles (PBE) data for a geometry-optimized Ac2AgO structure, as listed in Alexandria.

Cell and atoms, written as POSCAR:
```
Ac2AgO
1.0
-3.501 -0.734 -4.630
-2.977 -4.230 2.922
-2.521 5.094 4.796
O Ac Ag
2 4 2
Direct
0.363 0.371 0.454 O
0.363 0.871 0.454 O
0.238 0.121 0.661 Ac
0.696 0.621 0.662 Ac
0.488 0.121 0.246 Ac
0.030 0.621 0.246 Ac
0.863 0.121 0.954 Ag
0.363 0.621 0.954 Ag
```

Calculated values
**Calculated volume**: 237.6 Å³/cell
**M_tot**: 0.0 μB per formula unit
**Crystal system**: orthorhombic

If we sort the structures by their calculated energies, the order from most to least stable is model 2, model 1.